RbNaCdSe2 | Alexandria | PBE-GGA | relaxed; ρ = 3.993 g cm⁻³; energy relative to the elements, uncorrected = -0.706 eV/atom; DFT total energy = -27.40 eV for the cell shown
1.0
6.1307 0.0000 0.0000
0.0000 8.0843 0.0000
0.0000 0.0000 6.3563
Rb Na Cd Se
2 2 2 4
direct
0.2500 0.0000 0.2382
0.7500 0.0000 0.7618
0.2500 0.5000 0.4596
0.7500 0.5000 0.5404
0.0000 0.5000 0.0000
0.5000 0.5000 0.0000
0.2500 0.2645 0.7872
0.2500 0.7355 0.7872
0.7500 0.2645 0.2128
0.7500 0.7355 0.2128